[1]
Here is a relaxed Hf2ZrAu2 crystal from Alexandria. Energies are from PBE.

Values from the calculation:
As for the symmetry: P4/mbm, No. 127. For the formation energy from the elements, the calculation gives -0.23 eV/atom. As for the polymorph energy (0 for the lowest one): 141 meV/atom.

abc: 7.891 7.891 3.334
angles: 90.00 90.00 90.00
Fractional positions:
Hf: 0.337 0.837 0.000
Hf: 0.837 0.663 0.000
Hf: 0.663 0.163 0.000
Hf: 0.163 0.337 0.000
Au: 0.135 0.635 0.500
Au: 0.635 0.865 0.500
Au: 0.865 0.365 0.500
Au: 0.365 0.135 0.500
Zr: 0.000 0.000 0.000
Zr: 0.500 0.500 0.000

---

[2]
Here is a relaxed Sm3HfSe6 crystal from Alexandria. Energies are from PBE.

Values from the calculation:
As for the symmetry: R-3, No. 148. For the uncorrected formation energy, the calculation gives -1675 meV/atom.

abc: 8.282 8.282 8.282
angles: 98.30 98.30 98.30
Fractional positions:
Sm: 0.370 0.880 0.705
Sm: 0.880 0.705 0.370
Sm: 0.295 0.630 0.120
Sm: 0.705 0.370 0.880
Sm: 0.120 0.295 0.630
Sm: 0.630 0.120 0.295
Hf: 0.000 0.000 0.000
Hf: 0.500 0.500 0.500
Se: 0.318 0.971 0.068
Se: 0.029 0.932 0.682
Se: 0.573 0.811 0.435
Se: 0.932 0.682 0.029
Se: 0.435 0.573 0.811
Se: 0.189 0.565 0.427
Se: 0.811 0.435 0.573
Se: 0.565 0.427 0.189
Se: 0.068 0.318 0.971
Se: 0.427 0.189 0.565
Se: 0.971 0.068 0.318
Se: 0.682 0.029 0.932

---

[3]
Here is a relaxed CaBiBO4 crystal from Alexandria. Energies are from PBE.

Values from the calculation:
As for the symmetry: Cmcm, No. 63. For the uncorrected formation energy, the calculation gives -2147 meV/atom.

abc: 5.246 5.246 7.046
angles: 90.00 90.00 115.68
Fractional positions:
Ca: 0.500 0.500 0.500
Ca: 0.500 0.500 0.000
Bi: 0.827 0.173 0.250
Bi: 0.173 0.827 0.750
B: 0.149 0.851 0.250
B: 0.851 0.149 0.750
O: 0.180 0.254 0.750
O: 0.746 0.820 0.750
O: 0.758 0.242 0.918
O: 0.758 0.242 0.582
O: 0.242 0.758 0.082
O: 0.242 0.758 0.418
O: 0.820 0.746 0.250
O: 0.254 0.180 0.250

---

[4]
Here is a relaxed SiIrPt crystal from Alexandria. Energies are from PBE.

Values from the calculation:
As for the symmetry: F-43m, No. 216. For the uncorrected formation energy, the calculation gives -668 meV/atom. As for the polymorph energy (0 for the lowest one): 0 meV/atom.

abc: 4.017 4.017 4.017
angles: 60.00 60.00 60.00
Fractional positions:
Si: 0.750 0.750 0.750
Ir: 0.000 0.000 0.000
Pt: 0.500 0.500 0.500

---

| no. | M_tot (μB/f.u.) |
| --- | --- |
| 1 | 0.0 |
| 2 | 0.0 |
| 3 | 0.0 |
| 4 | 0.0 |